No. 1
Density functional theory data (PBE-GGA) for a relaxed LiReAgO2 crystal.

Summary:
Raw formation energy = 1.15 eV per atom
Energy = -4.275 eV/atom

The structure in extended XYZ format:
```
5
Lattice="-2.230 -3.115 -1.810 -0.089 -2.066 3.666 -3.602 1.981 1.029" Properties=species:S:1:pos:R:3 pbc="T T T"
Re -2.961 -1.600 1.443
O -1.801 0.990 0.515
O -1.115 -1.558 -0.905
Ag 0.000 0.000 0.000
Li -0.044 -1.033 1.833
```

No. 2
Density functional theory data (PBE-GGA) for a relaxed LiAg2RhO4 crystal.

Summary:
Raw formation energy = -0.50 eV per atom
Energy = -4.848 eV/atom

The structure in extended XYZ format:
```
8
Lattice="5.016 0.060 -0.004 0.057 5.193 -0.009 -2.536 -2.630 4.407" Properties=species:S:1:pos:R:3 pbc="T T T"
Li 2.512 0.029 4.307
Ag 0.006 2.581 4.265
Ag 0.004 0.007 1.909
Rh 2.548 2.620 2.183
O 1.580 1.339 3.147
O 3.708 1.688 1.004
O 1.362 3.554 1.024
O -1.569 -1.326 3.141
```